[1]
Compound: LiTlCu
Source: Alexandria via LeMat-Bulk
Functional: GGA-PBEsol
Structure: optimized geometry

The energy of formation comes out at 0.191 eV/atom. The energy relative to the lowest polymorph listed for this composition comes out at 99.2 meV per atom. As for the total magnetization: 0.000 Bohr magnetons per cell.

abc: 3.1434 3.1434 6.3984
angles: 90.00 90.00 120.00
With the nearest neighbours (Å) after each atom.
Space group P3m1 (No. 156)
Symmetry-distinct sites (fractional):
Li: 0.0000 0.0000 0.0000 (multiplicity 1)  3 Cu 2.63
Tl: 0.3333 0.6667 0.6301 (multiplicity 1)  3 Cu 2.79, 3 Li 2.98
Cu: 0.6667 0.3333 0.2984 (multiplicity 1)  3 Li 2.63, 3 Tl 2.79

***

[2]
Compound: Cd2In2Sn
Source: Alexandria via LeMat-Bulk
Functional: GGA-PBEsol
Structure: optimized geometry

The energy of formation comes out at 0.080 eV/atom. As for the total magnetization: 0.001 Bohr magnetons per cell.

abc: 8.8163 8.8163 3.1405
angles: 90.00 90.00 90.00
With the nearest neighbours (Å) after each atom.
Space group P4/mbm (No. 127)
Symmetry-distinct sites (fractional):
Cd: 0.1200 0.3800 0.0000 (multiplicity 4)  6 In 2.96-3.11, 3 Cd 2.99-3.14
In: 0.1790 0.6790 0.5000 (multiplicity 4)  6 Cd 2.96-3.11, 2 In 3.14, 2 Sn 3.24
Sn: 0.0000 0.0000 0.5000 (multiplicity 2)  2 Sn 3.14, 4 In 3.24

***

[3]
Compound: SbRuPt2
Source: Alexandria via LeMat-Bulk
Functional: GGA-PBEsol
Structure: optimized geometry

The value obtained for the final energy is -7.1099 eV per atom. As for the total magnetization: 0.000 Bohr magnetons per cell.

abc: 8.7124 3.2117 4.7439
angles: 90.00 103.78 90.00
With the nearest neighbours (Å) after each atom.
Space group Cm (No. 8)
Symmetry-distinct sites (fractional):
Sb: 0.0000 0.0000 0.0000 (multiplicity 2)  3 Ru 2.71-2.74, 7 Pt 2.77-2.89
Ru: 0.2461 0.5000 0.2477 (multiplicity 2)  7 Pt 2.68-2.95, 3 Sb 2.71-2.74
Pt: 0.2498 0.0000 0.7287 (multiplicity 2)  3 Pt 2.67-2.73, 3 Sb 2.77-2.78, 4 Ru 2.78-2.95
Pt: 0.4988 0.0000 0.4927 (multiplicity 2)  3 Pt 2.67-2.73, 3 Ru 2.68-2.75, 4 Sb 2.84-2.89

***

[4]
Compound: Zn10Pd3
Source: Alexandria via LeMat-Bulk
Functional: GGA-PBEsol
Structure: optimized geometry

The energy of formation comes out at -0.341 eV/atom. As for the total magnetization: 0.000 Bohr magnetons per cell.

abc: 8.9659 12.7158 7.7228
angles: 90.00 124.48 90.00
With the nearest neighbours (Å) after each atom.
Space group Cm (No. 8)
Symmetry-distinct sites (fractional):
Zn: 0.0000 0.0000 0.0000 (multiplicity 2)  7 Zn 2.60-2.83, 3 Pd 2.65-2.66
Zn: 0.0007 0.5000 0.1603 (multiplicity 2)  6 Zn 2.58-2.65, 4 Pd 2.59-2.77
Zn: 0.0752 0.3266 0.0361 (multiplicity 4)  7 Zn 2.56-2.81, 3 Pd 2.59-2.75
Zn: 0.1042 0.0000 0.3956 (multiplicity 2)  2 Pd 2.55-2.62, 7 Zn 2.59-2.80
Zn: 0.1117 0.0000 0.7529 (multiplicity 2)  10 Zn 2.55-2.86, 2 Pd 2.71
Zn: 0.1437 0.3871 0.7528 (multiplicity 4)  7 Zn 2.61-2.87, 4 Pd 2.64-2.70
Zn: 0.2114 0.1884 0.7305 (multiplicity 4)  7 Zn 2.60-2.87, 3 Pd 2.61-2.71
Zn: 0.2532 0.5000 0.5578 (multiplicity 2)  7 Zn 2.58-2.83, 5 Pd 2.67-2.73
Zn: 0.2557 0.1389 0.1020 (multiplicity 4)  3 Pd 2.53-2.65, 6 Zn 2.64-2.80
Zn: 0.3157 0.1794 0.4752 (multiplicity 4)  4 Pd 2.52-2.77, 5 Zn 2.57-2.80
Zn: 0.3812 0.3651 0.4039 (multiplicity 4)  7 Zn 2.57-2.86, 3 Pd 2.62-2.73
Zn: 0.4034 0.0000 0.7677 (multiplicity 2)  7 Zn 2.55-2.81, 2 Pd 2.71-2.72
Zn: 0.4309 0.3238 0.1127 (multiplicity 4)  3 Pd 2.55-2.69, 5 Zn 2.56-2.80
Pd: 0.0799 0.3179 0.3951 (multiplicity 4)  10 Zn 2.53-2.77
Pd: 0.2578 0.5000 0.0939 (multiplicity 2)  12 Zn 2.62-2.72
Pd: 0.3962 0.0000 0.4120 (multiplicity 2)  10 Zn 2.52-2.73
Pd: 0.4428 0.3285 0.7725 (multiplicity 4)  11 Zn 2.54-2.71

***

[5]
Compound: AgPt2
Source: Alexandria via LeMat-Bulk
Functional: GGA-PBEsol
Structure: optimized geometry

The energy of formation comes out at 0.034 eV/atom. The energy relative to the lowest polymorph listed for this composition comes out at 37.2 meV per atom. As for the total magnetization: 0.002 Bohr magnetons per cell.

abc: 2.7414 2.7414 12.2954
angles: 90.00 90.00 90.00
With the nearest neighbours (Å) after each atom.
Space group I4/mmm (No. 139)
Symmetry-distinct sites (fractional):
Ag: 0.0000 0.0000 0.0000 (multiplicity 2)  4 Ag 2.74, 8 Pt 2.85
Pt: 0.0000 0.0000 0.3302 (multiplicity 4)  8 Pt 2.74-2.76, 4 Ag 2.85

***

[6]
Compound: CrIrPt2
Source: Alexandria via LeMat-Bulk
Functional: GGA-PBEsol
Structure: optimized geometry

The energy of formation comes out at 0.000 eV/atom. As for the total magnetization: 0.004 Bohr magnetons per cell.

abc: 2.7008 2.7008 26.3483
angles: 90.00 90.00 120.00
With the nearest neighbours (Å) after each atom.
Space group R-3m (No. 166, hexagonal axes)
Symmetry-distinct sites (fractional):
Cr: 0.0000 0.0000 0.0000 (multiplicity 3)  6 Pt 2.59, 6 Cr 2.70
Ir: 0.0000 0.0000 0.5000 (multiplicity 3)  6 Ir 2.70, 6 Pt 2.80
Pt: 0.0000 0.0000 0.2547 (multiplicity 6)  3 Cr 2.59, 6 Pt 2.70, 3 Ir 2.80